(1)
Entry from Alexandria via LeMat-Bulk: a crystal of Na3As relaxed with PBEsol (SCAN). Values from VASP.

Computed properties:
total moment = 0.00 μB per atom
polymorph energy (0 for the lowest one) = 0.17 eV per formula unit
symmetry = No. 225

```
&SYSTEM
  ibrav = 0, nat = 4, ntyp = 2
/
ATOMIC_SPECIES
Na 22.99 Na.upf
As 74.92 As.upf
CELL_PARAMETERS angstrom
5.015 0.000 0.000
2.508 4.343 0.000
2.508 1.448 4.095
ATOMIC_POSITIONS crystal
Na 0.500 0.500 0.500
Na 0.250 0.250 0.250
Na 0.750 0.750 0.750
As 0.000 0.000 0.000
```

***

(2)
Entry from Alexandria via LeMat-Bulk: a crystal of NaAs relaxed with PBEsol (SCAN). Values from VASP.

Computed properties:
total moment = 0.00 μB per atom
polymorph energy (0 for the lowest one) = 0.01 eV per formula unit
symmetry = No. 19

```
&SYSTEM
  ibrav = 0, nat = 16, ntyp = 2
/
ATOMIC_SPECIES
Na 22.99 Na.upf
As 74.92 As.upf
CELL_PARAMETERS angstrom
-5.586 -1.965 -0.021
0.523 -1.421 -6.003
3.362 -9.585 2.561
ATOMIC_POSITIONS crystal
Na 0.613 0.899 0.578
Na 0.154 0.839 0.793
Na 0.387 0.399 0.922
Na 0.654 0.661 0.207
Na 0.887 0.101 0.078
Na 0.346 0.161 0.293
Na 0.113 0.601 0.422
Na 0.846 0.339 0.707
As 0.654 0.832 0.873
As 0.846 0.168 0.373
As 0.346 0.332 0.627
As 0.386 0.963 0.040
As 0.154 0.668 0.127
As 0.114 0.037 0.540
As 0.886 0.537 0.960
As 0.614 0.463 0.460
```

***

(3)
Entry from Alexandria via LeMat-Bulk: a crystal of NaNbAs3 relaxed with PBEsol (SCAN). Values from VASP.

Computed properties:
total moment = 0.00 μB per atom
symmetry = No. 221
Fermi-level density of states = 3.2 states/eV/cell
calculated total energy = -98.2 eV/cell

```
&SYSTEM
  ibrav = 0, nat = 5, ntyp = 3
/
ATOMIC_SPECIES
As 74.92 As.upf
Nb 92.91 Nb.upf
Na 22.99 Na.upf
CELL_PARAMETERS angstrom
4.991 0.000 0.000
0.000 4.991 0.000
0.000 0.000 4.991
ATOMIC_POSITIONS crystal
As 0.500 0.000 0.000
As 0.000 0.000 0.500
As 0.000 0.500 0.000
Nb 0.000 0.000 0.000
Na 0.500 0.500 0.500
```

***

(4)
Entry from Alexandria via LeMat-Bulk: a crystal of Na2NbAsO6 relaxed with PBEsol (SCAN). Values from VASP.

Computed properties:
total moment = 0.00 μB per atom
symmetry = No. 15
Fermi-level density of states = 0.0 states/eV/cell
energy relative to the elements, uncorrected = -2153 meV per atom

```
&SYSTEM
  ibrav = 0, nat = 40, ntyp = 4
/
ATOMIC_SPECIES
Nb 92.91 Nb.upf
Na 22.99 Na.upf
O 16.00 O.upf
As 74.92 As.upf
CELL_PARAMETERS angstrom
7.348 -0.008 -0.006
2.311 8.803 -0.045
2.311 2.095 8.550
ATOMIC_POSITIONS crystal
Nb 0.113 0.290 0.287
Nb 0.613 0.287 0.290
Nb 0.887 0.710 0.713
Nb 0.387 0.713 0.710
Na 0.250 0.458 0.542
Na 0.750 0.992 0.008
Na 0.561 0.648 0.071
Na 0.250 0.008 0.992
Na 0.061 0.071 0.648
Na 0.750 0.542 0.458
Na 0.939 0.929 0.352
Na 0.439 0.352 0.929
O 0.472 0.877 0.157
O 0.509 0.215 0.524
O 0.623 0.694 0.791
O 0.870 0.714 0.959
O 0.130 0.286 0.041
O 0.943 0.680 0.517
O 0.009 0.524 0.215
O 0.528 0.123 0.843
O 0.780 0.955 0.637
O 0.630 0.041 0.286
O 0.028 0.843 0.123
O 0.491 0.785 0.476
O 0.991 0.476 0.785
O 0.557 0.483 0.320
O 0.057 0.320 0.483
O 0.443 0.517 0.680
O 0.720 0.363 0.045
O 0.877 0.209 0.306
O 0.972 0.157 0.877
O 0.377 0.306 0.209
O 0.123 0.791 0.694
O 0.280 0.637 0.955
O 0.370 0.959 0.714
O 0.220 0.045 0.363
As 0.451 0.939 0.318
As 0.951 0.318 0.939
As 0.549 0.061 0.682
As 0.049 0.682 0.061
```

***

(5)
Entry from Alexandria via LeMat-Bulk: a crystal of Na5SrNbAs4 relaxed with PBEsol (SCAN). Values from VASP.

Computed properties:
total moment = 0.00 μB per atom
symmetry = No. 9
calculated total energy = -330.6 eV/cell

```
&SYSTEM
  ibrav = 0, nat = 22, ntyp = 4
/
ATOMIC_SPECIES
As 74.92 As.upf
Na 22.99 Na.upf
Nb 92.91 Nb.upf
Sr 87.62 Sr.upf
CELL_PARAMETERS angstrom
7.478 0.039 0.000
0.044 9.478 0.000
-0.022 -4.739 8.207
ATOMIC_POSITIONS crystal
As 0.594 0.621 0.808
As 0.168 0.332 0.661
As 0.612 0.190 0.810
As 0.105 0.812 0.619
As 0.668 0.671 0.339
As 0.605 0.193 0.381
As 0.094 0.812 0.192
As 0.112 0.380 0.190
Na 0.230 0.147 0.857
Na 0.384 0.538 0.064
Na 0.221 0.134 0.278
Na 0.730 0.290 0.143
Na 0.884 0.474 0.936
Na 0.385 0.937 0.466
Na 0.721 0.856 0.722
Na 0.885 0.471 0.534
Na 0.698 0.848 0.139
Na 0.198 0.709 0.861
Nb 0.999 0.662 0.330
Nb 0.499 0.333 0.670
Sr 0.391 0.532 0.472
Sr 0.891 0.059 0.528
```

***

(6)
Entry from Alexandria via LeMat-Bulk: a crystal of NaNiAsO4 relaxed with PBEsol (SCAN). Values from VASP.

Computed properties:
total moment = 0.28 μB per atom
symmetry = No. 148
Fermi-level density of states = 0.0 states/eV/cell
energy relative to the elements, uncorrected = -1591 meV per atom

```
&SYSTEM
  ibrav = 0, nat = 14, ntyp = 4
/
ATOMIC_SPECIES
O 16.00 O.upf
As 74.92 As.upf
Na 22.99 Na.upf
Ni 58.69 Ni.upf
CELL_PARAMETERS angstrom
-2.183 -4.358 0.779
1.545 -4.004 -2.437
5.524 -4.506 5.907
ATOMIC_POSITIONS crystal
O 0.629 0.629 0.113
O 0.114 0.463 0.636
O 0.371 0.371 0.887
O 0.537 0.213 0.364
O 0.213 0.886 0.364
O 0.463 0.787 0.636
O 0.787 0.114 0.636
O 0.886 0.537 0.364
As 0.434 0.434 0.697
As 0.566 0.566 0.303
Na 0.713 0.713 0.861
Na 0.287 0.287 0.139
Ni 0.835 0.835 0.494
Ni 0.165 0.165 0.506
```